1.
The following is a PBE-GGA calculation of a relaxed structure of Pm3PrTl4, from the Alexandria database.

extended XYZ file:
```
8
Lattice="-2.784 1.061 -2.076 3.127 -3.253 -5.857 -4.741 -6.942 5.985" Properties=species:S:1:pos:R:3 pbc="T T T"
Tl -1.658 -2.466 -2.213
Tl -0.336 -3.840 -4.688
Tl -4.061 -5.294 2.740
Tl -2.739 -6.668 0.265
Pm -1.990 -3.501 0.880
Pm -2.407 -5.633 -2.827
Pm 1.564 -1.627 -2.929
Pr -1.392 0.531 -1.038
```

Computed properties:
energy above the lowest structure with this stoichiometry = 145 meV/atom
size of the total moment = 0.0 Bohr magnetons per cell
energy relative to the elements = -0.248 eV/atom
crystal system = orthorhombic

---

2.
The following is a PBE-GGA calculation of a relaxed structure of Pm3Pr8Tl, from the Alexandria database.

extended XYZ file:
```
12
Lattice="7.712 -0.543 -3.696 -4.521 7.187 -1.154 -0.342 0.543 8.545" Properties=species:S:1:pos:R:3 pbc="T T T"
Pr 5.136 0.561 -1.829
Pr -3.387 5.384 1.190
Pr -1.326 2.108 5.973
Pr 0.119 2.800 1.867
Pr 2.601 1.803 0.114
Pr 0.098 5.623 3.810
Pr -3.102 4.930 6.762
Pr -4.168 6.626 4.287
Pm 0.380 5.254 -0.577
Pm 2.469 1.933 4.272
Pm -2.432 3.865 3.696
Tl 0.000 0.000 0.000
```

Computed properties:
size of the total moment = 0.0 Bohr magnetons per cell
energy relative to the elements = 0.419 eV/atom
crystal system = tetragonal

---

3.
The following is a PBE-GGA calculation of a relaxed structure of Pm6PrTl6, from the Alexandria database.

extended XYZ file:
```
13
Lattice="-0.098 1.711 -6.284 -4.442 -4.166 2.310 -6.619 8.381 2.386" Properties=species:S:1:pos:R:3 pbc="T T T"
Pm -4.856 3.942 -2.226
Pm -6.304 1.983 0.638
Pm -2.994 -2.207 -0.555
Pm -1.546 -0.248 -3.419
Pm -2.220 2.811 0.800
Pm -4.399 5.570 1.586
Tl -3.899 0.834 -1.400
Tl -7.212 4.236 2.954
Tl -1.678 2.918 -2.555
Tl -5.040 7.174 -1.343
Tl -3.850 -0.021 1.742
Tl -7.261 5.091 -0.188
Pr 0.000 0.000 0.000
```

Computed properties:
size of the total moment = 2.3 Bohr magnetons per cell
energy relative to the elements = -0.233 eV/atom
crystal system = hexagonal

---

4.
The following is a PBE-GGA calculation of a relaxed structure of PmPr14Tl, from the Alexandria database.

extended XYZ file:
```
16
Lattice="-1.561 -2.820 -6.585 -1.558 -6.444 3.129 -9.921 2.932 1.097" Properties=species:S:1:pos:R:3 pbc="T T T"
Pr -5.739 -0.393 -1.529
Pr -7.302 -5.033 -3.260
Pr -6.521 -1.806 -4.825
Pr -3.984 -5.265 2.157
Pr -0.783 -1.873 -2.079
Pr -9.054 -3.767 2.717
Pr -2.337 -6.487 -3.800
Pr -9.043 -1.977 -2.091
Pr -3.999 -3.467 -2.648
Pr -9.820 -5.164 -0.541
Pr -3.220 -2.074 0.610
Pr -8.277 -0.580 1.169
Pr -6.520 -3.620 0.036
Pr -4.763 -6.659 -1.100
Pm -1.561 -3.272 -5.371
Tl -1.559 -5.085 -0.514
```

Computed properties:
size of the total moment = 0.0 Bohr magnetons per cell
energy relative to the elements = -0.028 eV/atom
crystal system = orthorhombic

---

5.
The following is a PBE-GGA calculation of a relaxed structure of Pm2Pr3Tl6, from the Alexandria database.

extended XYZ file:
```
11
Lattice="-3.466 -4.907 0.402 2.925 -2.447 -4.659 7.804 -1.053 9.344" Properties=species:S:1:pos:R:3 pbc="T T T"
Tl 4.719 -6.504 6.379
Tl -0.650 -3.133 1.237
Tl 2.545 -1.903 -1.293
Tl 4.303 -2.702 4.121
Tl 2.961 -5.706 0.965
Tl 7.914 -5.274 3.849
Pm 0.883 -4.401 -1.024
Pm 6.381 -4.006 6.111
Pr 5.062 -7.025 2.977
Pr 0.000 0.000 0.000
Pr 2.202 -1.383 2.109
```

Computed properties:
size of the total moment = 0.0 Bohr magnetons per cell
energy relative to the elements = 0.048 eV/atom
crystal system = tetragonal

---

6.
The following is a PBE-GGA calculation of a relaxed structure of Pm6PrTl5, from the Alexandria database.

extended XYZ file:
```
12
Lattice="-1.258 4.944 0.530 0.380 1.056 -8.955 -7.101 -4.861 3.673" Properties=species:S:1:pos:R:3 pbc="T T T"
Pm -0.525 2.760 -2.177
Pm -0.353 3.240 -6.248
Pm -5.675 0.999 2.031
Pm -2.484 -0.360 -2.542
Pm -5.495 1.499 -2.210
Pm -2.304 0.140 -6.783
Tl 0.190 0.528 -4.477
Tl -3.110 2.341 -4.404
Tl -5.074 -0.771 -4.854
Tl -2.905 1.910 0.102
Tl -4.869 -1.202 -0.348
Pr 0.000 0.000 0.000
```

Computed properties:
size of the total moment = 0.0 Bohr magnetons per cell
energy relative to the elements = -0.301 eV/atom
crystal system = orthorhombic

---

7.
The following is a PBE-GGA calculation of a relaxed structure of Pm8PrTl2, from the Alexandria database.

extended XYZ file:
```
11
Lattice="4.998 0.000 -1.614 -1.153 7.531 -3.570 0.189 0.744 9.129" Properties=species:S:1:pos:R:3 pbc="T T T"
Pr 2.688 0.744 8.322
Tl 0.454 5.161 1.406
Tl 3.580 3.115 2.539
Pm 0.552 1.783 1.711
Pm -0.570 5.631 -1.762
Pm 3.481 6.493 2.235
Pm 2.504 3.657 -0.793
Pm 1.628 0.852 5.038
Pm 2.406 7.423 -1.093
Pm 1.530 4.619 4.738
Pm 4.603 2.645 5.707
```

Computed properties:
energy above the lowest structure with this stoichiometry = 0 meV/atom
size of the total moment = 0.0 Bohr magnetons per cell
energy relative to the elements = -0.105 eV/atom
crystal system = monoclinic

---

8.
The following is a PBE-GGA calculation of a relaxed structure of PmPr6Tl4, from the Alexandria database.

extended XYZ file:
```
11
Lattice="8.316 -0.323 -0.475 -4.131 7.225 0.475 -4.131 -2.214 6.893" Properties=species:S:1:pos:R:3 pbc="T T T"
Tl -3.315 3.567 5.246
Tl -3.567 0.607 4.239
Tl -3.567 3.720 2.123
Tl 2.241 1.804 2.654
Pr 2.092 3.451 0.000
Pr -0.770 2.240 3.295
Pr -5.921 5.363 4.074
Pr -5.921 1.817 6.485
Pr 2.092 -1.269 3.209
Pr 4.401 0.277 0.408
Pm 0.000 0.000 0.000
```

Computed properties:
size of the total moment = 0.0 Bohr magnetons per cell
energy relative to the elements = -0.080 eV/atom
crystal system = tetragonal